A relaxed AlTc2Sb crystal. Source: Alexandria via LeMat-Bulk, functional PBE-GGA.

Output
Total magnetization = 0.00 μB per formula unit
Formation energy from raw total energies = -0.0316 eV/atom
Calculated density = 9.1 g/cm³
Total DFT energy (no corrections) = -28.723 eV for the cell shown
Density of states at the Fermi level = 4.18 states/eV/cell
Relative energy among the computed polymorphs = 40.1 meV per atom

Cell and atoms, written as CIF:
```
data_AlTc2Sb
_chemical_formula_sum 'Al1 Tc2 Sb1'
_cell_length_a 3.178
_cell_length_b 3.178
_cell_length_c 6.258
_cell_angle_alpha 90.00
_cell_angle_beta 90.00
_cell_angle_gamma 90.00
_symmetry_space_group_name_H-M 'P 4/m m m'
_symmetry_Int_Tables_number 123
_symmetry_space_group_name_Hall '-P 4 2'
loop_
_atom_site_label
_atom_site_type_symbol
_atom_site_fract_x
_atom_site_fract_y
_atom_site_fract_z
Al1 Al 0.000 0.000 0.000
Tc1 Tc 0.500 0.500 0.240
Sb1 Sb 0.000 0.000 0.500
```